Material: KTbVO4
Method: DFT, GGA+U
State: relaxed

The structure in extended XYZ format:
```
14
Lattice="5.9609 0.0000 0.0521 0.0000 5.9447 0.0000 -2.2887 0.0000 6.9997" Properties=species:S:1:pos:R:3 pbc="T T T"
O 1.5400 4.4585 4.0451
V 0.9133 4.4585 2.4190
V 2.7589 1.4862 4.6328
Tb 3.8370 4.4585 3.2546
O 4.1106 0.1550 4.7764
O 2.1322 1.4862 3.0067
Tb -0.1648 1.4862 3.7972
O -0.4384 5.7897 2.2754
O 1.3171 1.4862 5.6746
O 2.3550 4.4585 1.3772
K 1.5662 1.4862 0.4419
O 4.1106 2.8174 4.7764
O -0.4384 3.1273 2.2754
K 2.1059 4.4585 6.6099
```

Output
- total DFT energy (no corrections) (eV/atom) = -7.1641
- size of the total moment (μB/cell) = 2.000